# Li4HoAu, relaxed, DFT PBE-GGA
data_Li4HoAu
_cell_length_a 5.267
_cell_length_b 5.267
_cell_length_c 5.267
_cell_angle_alpha 60.00
_cell_angle_beta 60.00
_cell_angle_gamma 60.00
_space_group_name_H-M_alt 'P 1'
_space_group_IT_number 1
_space_group_name_Hall 'P 1'
loop_
_atom_site_label
_atom_site_type_symbol
_atom_site_fract_x
_atom_site_fract_y
_atom_site_fract_z
Au1 Au 0.000 0.000 0.000
Ho1 Ho 0.250 0.250 0.250
Li1 Li 0.628 0.628 0.115
Li2 Li 0.628 0.115 0.628
Li3 Li 0.628 0.628 0.628
Li4 Li 0.115 0.628 0.628
# * total DFT energy (no corrections): -16.382 eV/f.u.
# * space group: F-43m
# * volume: 17.21 Å³ per atom
# * total magnetic moment: 0.000 μB/cell



# Cr3GeBi, relaxed, DFT PBE-GGA
data_Cr3GeBi
_cell_length_a 4.769
_cell_length_b 4.769
_cell_length_c 4.769
_cell_angle_alpha 90.00
_cell_angle_beta 90.00
_cell_angle_gamma 90.00
_space_group_name_H-M_alt 'P 1'
_space_group_IT_number 1
_space_group_name_Hall 'P 1'
loop_
_atom_site_label
_atom_site_type_symbol
_atom_site_fract_x
_atom_site_fract_y
_atom_site_fract_z
Cr1 Cr 0.000 0.500 0.000
Cr2 Cr 0.000 0.000 0.500
Cr3 Cr 0.500 0.000 0.000
Ge1 Ge 0.000 0.000 0.000
Bi1 Bi 0.500 0.500 0.500
# * total DFT energy (no corrections): -34.009 eV/f.u.
# * space group: Pm-3m
# * volume: 21.69 Å³ per atom
# * total magnetic moment: 11.009 μB/cell



Q: The highest total magnetic moment belongs to which entry?
A: Cr3GeBi